Below is crystalline AcYGa at its relaxed geometry, with properties calculated at the PBE level.

Unit cell a=4.4845 b=4.9906 c=4.9906 alpha=120.00 beta=90.00 gamma=90.00
Sites, in units of the cell vectors:
Ga (0.5009, 0.3333, 0.6667)
Y (0.4995, 0.6667, 0.3333)
Ac (0.9996, 0.0000, 0.0000)

Output
symmetry = No. 156
energy above the lowest structure with this stoichiometry = 0.213 eV/f.u.
size of the total moment = 0.00 μB per formula unit
DOS at the Fermi energy = 4.058 states/eV/f.u.